Entry 1:
# GGA-PBE NaTlC, relaxed
# * total DFT energy (no corrections): -9.2 eV per formula unit
# * crystal system: tetragonal
# * ΔE_f: 1221 meV per atom
data_NaTlC
_symmetry_space_group_name_H-M 'P 4/n m m'
_symmetry_Int_Tables_number 129
_cell_length_a 4.9202
_cell_length_b 4.9202
_cell_length_c 5.1174
_cell_angle_alpha 90.00
_cell_angle_beta 90.00
_cell_angle_gamma 90.00
loop_
_symmetry_equiv_pos_as_xyz
'x,y,z'
'-x,-y,-z'
'-y+1/2,x,z'
'y+1/2,-x,-z'
'-x+1/2,-y+1/2,z'
'x+1/2,y+1/2,-z'
'y,-x+1/2,z'
'-y,x+1/2,-z'
'x+1/2,-y,-z'
'-x+1/2,y,z'
'-y,-x,-z'
'y,x,z'
'-x,y+1/2,-z'
'x,-y+1/2,z'
'y+1/2,x+1/2,-z'
'-y+1/2,-x+1/2,z'
loop_
_atom_site_label
_atom_site_fract_x
_atom_site_fract_y
_atom_site_fract_z
_atom_site_occupancy
Na1 0.2500 0.2500 0.0607 1
Tl1 0.2500 0.7500 0.5000 1
C1 0.2500 0.2500 0.5732 1

Entry 2:
# GGA-PBE Re2AgI, relaxed
# * total DFT energy (no corrections): -23.4 eV per formula unit
# * crystal system: cubic
# * ΔE_f (raw): 1.4735 eV per atom
# * ΔE to the lowest computed polymorph: 159 meV/atom
data_Re2AgI
_symmetry_space_group_name_H-M 'F m -3 m'
_symmetry_Int_Tables_number 225
_symmetry_space_group_name_Hall '-F 4 2 3'
_cell_length_a 6.4776
_cell_length_b 6.4776
_cell_length_c 6.4776
_cell_angle_alpha 90.00
_cell_angle_beta 90.00
_cell_angle_gamma 90.00
loop_
_atom_site_label
_atom_site_fract_x
_atom_site_fract_y
_atom_site_fract_z
_atom_site_occupancy
Re1 0.2500 0.2500 0.2500 1
Ag1 0.0000 0.0000 0.0000 1
I1 0.0000 0.0000 0.5000 1

Entry 3:
# GGA-PBE Li7TlHg2, relaxed
# * total DFT energy (no corrections): -18.4 eV per formula unit
# * crystal system: trigonal
# * ΔE_f: -202 meV per atom
# * ΔE to the lowest computed polymorph: 0 meV/atom
data_Li7TlHg2
_symmetry_space_group_name_H-M 'P 3 m 1'
_symmetry_Int_Tables_number 156
_symmetry_space_group_name_Hall 'P 3 -2"'
_cell_length_a 4.6830
_cell_length_b 4.6830
_cell_length_c 10.0362
_cell_angle_alpha 90.00
_cell_angle_beta 90.00
_cell_angle_gamma 120.00
loop_
_atom_site_label
_atom_site_fract_x
_atom_site_fract_y
_atom_site_fract_z
_atom_site_occupancy
Li1 0.0000 0.0000 0.0000 1
Li2 0.0000 0.0000 0.2419 1
Li3 0.0000 0.0000 0.7505 1
Li4 0.3333 0.6667 0.4078 1
Li5 0.3333 0.6667 0.8099 1
Li6 0.6667 0.3333 0.2167 1
Li7 0.6667 0.3333 0.5928 1
Tl1 0.6667 0.3333 0.9083 1
Hg1 0.0000 0.0000 0.4957 1
Hg2 0.3333 0.6667 0.1121 1

Entry 4:
# GGA-PBE Hf2TcSbH, relaxed
# * total DFT energy (no corrections): -39.1 eV per formula unit
# * crystal system: tetragonal
data_Hf2TcSbH
_symmetry_space_group_name_H-M 'P 4/m m m'
_symmetry_Int_Tables_number 123
_symmetry_space_group_name_Hall '-P 4 2'
_cell_length_a 4.4195
_cell_length_b 4.4195
_cell_length_c 4.0174
_cell_angle_alpha 90.00
_cell_angle_beta 90.00
_cell_angle_gamma 90.00
loop_
_atom_site_label
_atom_site_fract_x
_atom_site_fract_y
_atom_site_fract_z
_atom_site_occupancy
Hf1 0.0000 0.5000 0.0000 1
Tc1 0.0000 0.0000 0.5000 1
Sb1 0.5000 0.5000 0.5000 1
H1 0.0000 0.0000 0.0000 1

Entry 5:
# GGA-PBE RbCd3Rh, relaxed
# * total DFT energy (no corrections): -11.6 eV per formula unit
# * crystal system: cubic
# * ΔE_f: -100 meV per atom
# * ΔE to the lowest computed polymorph: 8 meV/atom
data_RbCd3Rh
_symmetry_space_group_name_H-M 'P m -3 m'
_symmetry_Int_Tables_number 221
_symmetry_space_group_name_Hall '-P 4 2 3'
_cell_length_a 5.3078
_cell_length_b 5.3078
_cell_length_c 5.3078
_cell_angle_alpha 90.00
_cell_angle_beta 90.00
_cell_angle_gamma 90.00
loop_
_atom_site_label
_atom_site_fract_x
_atom_site_fract_y
_atom_site_fract_z
_atom_site_occupancy
Rb1 0.0000 0.0000 0.0000 1
Cd1 0.0000 0.5000 0.5000 1
Rh1 0.5000 0.5000 0.5000 1

Entry 6:
# GGA-PBE LaPm5Zn4, relaxed
# * total DFT energy (no corrections): -36.3 eV per formula unit
# * crystal system: tetragonal
# * ΔE_f: -251 meV per atom
data_LaPm5Zn4
_symmetry_space_group_name_H-M 'P 4/m m m'
_symmetry_Int_Tables_number 123
_symmetry_space_group_name_Hall '-P 4 2'
_cell_length_a 3.6692
_cell_length_b 3.6692
_cell_length_c 19.8807
_cell_angle_alpha 90.00
_cell_angle_beta 90.00
_cell_angle_gamma 90.00
loop_
_atom_site_label
_atom_site_fract_x
_atom_site_fract_y
_atom_site_fract_z
_atom_site_occupancy
La1 0.0000 0.0000 0.0000 1
Pm1 0.5000 0.5000 0.1346 1
Pm2 0.5000 0.5000 0.3174 1
Pm3 0.5000 0.5000 0.5000 1
Zn1 0.0000 0.0000 0.2245 1
Zn2 0.0000 0.0000 0.4078 1

Entry 7:
# GGA-PBE P2RhPb, relaxed
# * total DFT energy (no corrections): -21.2 eV per formula unit
# * crystal system: orthorhombic
# * ΔE_f: 171 meV per atom
data_P2RhPb
_symmetry_space_group_name_H-M 'I m m m'
_symmetry_Int_Tables_number 71
_symmetry_space_group_name_Hall '-I 2 2'
_cell_length_a 2.9980
_cell_length_b 5.5957
_cell_length_c 9.4487
_cell_angle_alpha 90.00
_cell_angle_beta 90.00
_cell_angle_gamma 90.00
loop_
_atom_site_label
_atom_site_fract_x
_atom_site_fract_y
_atom_site_fract_z
_atom_site_occupancy
P1 0.0000 0.0000 0.1954 1
Rh1 0.0000 0.5000 0.5000 1
Pb1 0.0000 0.5000 0.0000 1

Entry 8:
# GGA-PBE K2ZrAs, relaxed
# * total DFT energy (no corrections): -14.5 eV per formula unit
# * crystal system: tetragonal
# * ΔE_f: 234 meV per atom
data_K2ZrAs
_symmetry_space_group_name_H-M 'P 4/m m m'
_symmetry_Int_Tables_number 123
_symmetry_space_group_name_Hall '-P 4 2'
_cell_length_a 4.2138
_cell_length_b 4.2138
_cell_length_c 6.1050
_cell_angle_alpha 90.00
_cell_angle_beta 90.00
_cell_angle_gamma 90.00
loop_
_atom_site_label
_atom_site_fract_x
_atom_site_fract_y
_atom_site_fract_z
_atom_site_occupancy
K1 0.0000 0.5000 0.0000 1
Zr1 0.0000 0.0000 0.5000 1
As1 0.5000 0.5000 0.5000 1

Entry 9:
# GGA-PBE Rb2LiCd12Ag3, relaxed
# * total DFT energy (no corrections): -20.7 eV per formula unit
# * crystal system: trigonal
# * ΔE_f: 152 meV per atom
data_Rb2LiCd12Ag3
_symmetry_space_group_name_H-M 'R -3 m'
_symmetry_Int_Tables_number 166
_symmetry_space_group_name_Hall '-R 3 2"'
_cell_length_a 9.8265
_cell_length_b 9.8265
_cell_length_c 21.5980
_cell_angle_alpha 90.00
_cell_angle_beta 90.00
_cell_angle_gamma 120.00
loop_
_atom_site_label
_atom_site_fract_x
_atom_site_fract_y
_atom_site_fract_z
_atom_site_occupancy
Rb1 0.0000 0.0000 0.1220 1
Li1 0.0000 0.0000 0.5000 1
Cd1 0.0142 0.5071 0.3260 1
Cd2 0.0366 0.5183 0.1263 1
Ag1 0.0000 0.5000 0.0000 1

Entry 10:
# GGA-PBE Cr6Te7, relaxed
# * total DFT energy (no corrections): -70.8 eV per formula unit
# * crystal system: trigonal
# * ΔE_f (raw): 0.6872 eV per atom
data_Cr6Te7
_symmetry_space_group_name_H-M 'R -3 m'
_symmetry_Int_Tables_number 166
_symmetry_space_group_name_Hall '-R 3 2"'
_cell_length_a 6.5864
_cell_length_b 6.5864
_cell_length_c 29.7420
_cell_angle_alpha 90.00
_cell_angle_beta 90.00
_cell_angle_gamma 120.00
loop_
_atom_site_label
_atom_site_fract_x
_atom_site_fract_y
_atom_site_fract_z
_atom_site_occupancy
Cr1 0.0000 0.0000 0.0762 1
Cr2 0.0000 0.0000 0.1943 1
Cr3 0.0000 0.0000 0.3351 1
Te1 0.0000 0.0000 0.5000 1
Te2 0.0058 0.5029 0.9352 1

Entry 11:
# GGA-PBE Li3Zn2Ga4, relaxed
# * total DFT energy (no corrections): -22.5 eV per formula unit
# * crystal system: monoclinic
# * ΔE_f: -234 meV per atom
# * ΔE to the lowest computed polymorph: 0 meV/atom
data_Li3Zn2Ga4
_symmetry_space_group_name_H-M 'C 1 2/m 1'
_symmetry_Int_Tables_number 12
_symmetry_space_group_name_Hall '-C 2y'
_cell_length_a 9.7802
_cell_length_b 4.3545
_cell_length_c 8.1387
_cell_angle_alpha 90.00
_cell_angle_beta 121.24
_cell_angle_gamma 90.00
loop_
_atom_site_label
_atom_site_fract_x
_atom_site_fract_y
_atom_site_fract_z
_atom_site_occupancy
Li1 0.0000 0.0000 0.0000 1
Li2 0.1666 0.5000 0.6648 1
Zn1 0.1115 0.5000 0.2789 1
Ga1 0.0547 0.0000 0.3879 1
Ga2 0.2213 0.5000 0.0595 1

Entry 12:
# GGA-PBE NdErZnGe, relaxed
# * total DFT energy (no corrections): -17.6 eV per formula unit
# * crystal system: orthorhombic
# * ΔE_f: -590 meV per atom
# * ΔE to the lowest computed polymorph: 0 meV/atom
data_NdErZnGe
_symmetry_space_group_name_H-M 'A m m 2'
_symmetry_Int_Tables_number 38
_symmetry_space_group_name_Hall 'A 2 -2'
_cell_length_a 4.1245
_cell_length_b 4.2300
_cell_length_c 11.1474
_cell_angle_alpha 90.00
_cell_angle_beta 90.00
_cell_angle_gamma 90.00
loop_
_atom_site_label
_atom_site_fract_x
_atom_site_fract_y
_atom_site_fract_z
_atom_site_occupancy
Nd1 0.0000 0.0000 0.0000 1
Er1 0.5000 0.0000 0.2827 1
Zn1 0.5000 0.0000 0.5752 1
Ge1 0.0000 0.0000 0.7224 1